# 1
Ca2Fe2P2N: optimized geometry, PBE.

## Properties
M_tot: 0.0 μB/f.u.
V: 216.06 Å³/cell
Uncorrected formation energy: -84.41 kJ per mole of atoms
Fermi-level density of states: 7.40 states/eV/cell

Lattice parameters (Å, degrees): 10.6310 3.7001 6.6414 90.00 124.20 90.00
Space group C2/m (No. 12)
Unique sites:
Ca: 0.0587 0.0000 0.3049 (multiplicity 4)
Fe: 0.1870 0.5000 0.0704 (multiplicity 4)
P: 0.1860 0.5000 0.7345 (multiplicity 4)
N: 0.0000 0.5000 0.0000 (multiplicity 2)

# 2
CaFe2PN: optimized geometry, PBE.

## Properties
M_tot: 0.0 μB/f.u.
V: 249.30 Å³/cell
Uncorrected formation energy: -72.87 kJ per mole of atoms
Fermi-level density of states: 12.97 states/eV/cell

Lattice parameters (Å, degrees): 3.6199 10.3997 6.6223 90.00 90.00 90.00
Space group Cmcm (No. 63)
Unique sites:
Ca: 0.0000 0.0456 0.2500 (multiplicity 4)
Fe: 0.0000 0.3355 0.0546 (multiplicity 8)
P: 0.0000 0.2296 0.7500 (multiplicity 4)
N: 0.0000 0.5000 0.0000 (multiplicity 4)